# MgCrCo2C

A relaxed structure of MgCrCo2C (PBE, Alexandria).

ΔH_f (0 K) = 0.1 eV/f.u.
DFT total energy = -6.907 eV per atom

Cell lengths 3.834, 3.834, 3.907 Å; angles 90.00, 90.00, 90.00 degrees
Fractional coordinates of all 5 atoms:
Mg1 0.000 0.000 0.000
Cr1 0.500 0.500 0.000
Co1 0.000 0.500 0.500
Co2 0.500 0.000 0.500
C1 0.500 0.500 0.500